Material: PuPdO5
Method: DFT, PBE
State: relaxed

Results
Its uncorrected formation energy is -1.462 eV per atom. For the energy, the calculation gives -7.793 eV/atom. For the density of states at the Fermi level, the calculation gives 0.5429 states/eV/atom.

abc: 6.026 12.646 7.345
angles: 90.00 106.47 90.00
Positions (direct):
Pu1 0.010 0.021 0.252
Pu2 0.010 0.479 0.752
Pu3 0.990 0.521 0.248
Pu4 0.990 0.979 0.748
Pd1 0.092 0.250 0.022
Pd2 0.092 0.250 0.522
Pd3 0.908 0.750 0.478
Pd4 0.908 0.750 0.978
O1 0.076 0.097 0.569
O2 0.076 0.097 0.967
O3 0.076 0.403 0.069
O4 0.076 0.403 0.467
O5 0.105 0.202 0.275
O6 0.105 0.298 0.775
O7 0.278 0.569 0.316
O8 0.278 0.931 0.816
O9 0.303 0.520 0.820
O10 0.303 0.980 0.320
O11 0.697 0.020 0.680
O12 0.697 0.480 0.180
O13 0.722 0.069 0.184
O14 0.722 0.431 0.684
O15 0.895 0.702 0.225
O16 0.895 0.798 0.725
O17 0.924 0.597 0.533
O18 0.924 0.597 0.931
O19 0.924 0.903 0.033
O20 0.924 0.903 0.431